First-principles (GGA-PBE) data for Zr3PaN after structural relaxation, as listed in the Alexandria database.

Lattice parameters (Å, degrees): 4.6151 4.6151 4.6151 90.00 90.00 90.00
With the nearest neighbours (Å) after each atom.
Atoms (fractional coordinates):
Zr (0.0000, 0.0000, 0.5000)  2 N 2.31
Zr (0.0000, 0.5000, 0.0000)  2 N 2.31
Zr (0.5000, 0.0000, 0.0000)  2 N 2.31
Pa (0.5000, 0.5000, 0.5000)  12 Zr 3.26
N (0.0000, 0.0000, 0.0000)  6 Zr 2.31

The calculation puts the density of states at the Fermi level at 5.9 states/eV/cell. As for the density: 8.76 g/cm³. As for the calculated total energy: -9.165 eV/atom. The value obtained for the formation energy (no corrections) is -0.47 eV/atom. As for the magnetic moment: 0.00 Bohr magnetons per cell.

---

First-principles (GGA-PBE) data for InNi2Os after structural relaxation, as listed in the Alexandria database.

Lattice parameters (Å, degrees): 8.5870 8.5870 8.5870 18.84 18.84 18.84
With the nearest neighbours (Å) after each atom.
Atoms (fractional coordinates):
In (0.0000, 0.0000, 0.0000)  3 Ni 2.69, 6 In 2.81, 3 Os 2.92
Ni (0.2484, 0.2484, 0.2484)  3 Ni 2.51, 3 In 2.69
Ni (0.5062, 0.5062, 0.5062)  3 Ni 2.51, 3 Os 2.53
Os (0.7627, 0.7627, 0.7627)  3 Ni 2.53, 6 Os 2.81

The calculation puts the density of states at the Fermi level at 4.6 states/eV/cell. As for the density: 12.16 g/cm³. As for the calculated total energy: -5.988 eV/atom. As for the magnetic moment: 0.00 Bohr magnetons per cell. For the energy of formation, the calculation gives 1.580 eV per formula unit.

---

First-principles (GGA-PBE) data for Th2CdInOs after structural relaxation, as listed in the Alexandria database.

Lattice parameters (Å, degrees): 8.4996 4.1457 8.5173 90.00 104.03 90.00
With the nearest neighbours (Å) after each atom.
Atoms (fractional coordinates):
Th (0.1274, 0.2500, 0.3973)  2 Os 2.72
Th (0.1926, 0.2500, 0.9873)  3 Os 2.81-2.97
Th (0.8074, 0.7500, 0.0127)  3 Os 2.81-2.97
Th (0.8726, 0.7500, 0.6027)  2 Os 2.72
Cd (0.2948, 0.7500, 0.7106)  2 In 2.97
Cd (0.7052, 0.2500, 0.2894)  2 In 2.97
In (0.4735, 0.7500, 0.3443)  1 Os 2.71, 2 Cd 2.97
In (0.5265, 0.2500, 0.6557)  1 Os 2.71, 2 Cd 2.97
Os (0.1527, 0.7500, 0.1973)  1 In 2.71, 5 Th 2.72-2.97
Os (0.8473, 0.2500, 0.8027)  1 In 2.71, 5 Th 2.72-2.97

The calculation puts the density of states at the Fermi level at 5.8 states/eV/cell. As for the density: 10.05 g/cm³. As for the calculated total energy: -6.116 eV/atom. As for the magnetic moment: 0.00 Bohr magnetons per cell. For the energy of formation, the calculation gives -0.859 eV per formula unit.

---

First-principles (GGA-PBE) data for Ac2NdCd6 after structural relaxation, as listed in the Alexandria database.

Lattice parameters (Å, degrees): 8.8911 8.8911 3.7665 90.00 90.00 120.00
With the nearest neighbours (Å) after each atom.
Atoms (fractional coordinates):
Ac (0.3333, 0.6667, 0.0000)  12 Cd 3.53, 2 Ac 3.77
Ac (0.6667, 0.3333, 0.0000)  12 Cd 3.53, 2 Ac 3.77
Nd (0.0000, 0.0000, 0.0000)  12 Cd 3.47, 2 Nd 3.77
Cd (0.0000, 0.3278, 0.5000)  3 Cd 2.91-3.06
Cd (0.0000, 0.6722, 0.5000)  3 Cd 2.91-3.06
Cd (0.3278, 0.0000, 0.5000)  3 Cd 2.91-3.06
Cd (0.3278, 0.3278, 0.5000)  3 Cd 2.91-3.06
Cd (0.6722, 0.0000, 0.5000)  3 Cd 2.91-3.06
Cd (0.6722, 0.6722, 0.5000)  3 Cd 2.91-3.06

The calculation puts the density of states at the Fermi level at 8.4 states/eV/cell. As for the density: 8.20 g/cm³. As for the calculated total energy: -2.379 eV/atom. As for the magnetic moment: 0.23 Bohr magnetons per cell. For the energy of formation, the calculation gives -2.937 eV per formula unit.

---

First-principles (GGA-PBE) data for LaCu11 after structural relaxation, as listed in the Alexandria database.

Lattice parameters (Å, degrees): 7.8716 7.8716 7.8716 100.21 100.21 130.21
With the nearest neighbours (Å) after each atom.
Atoms (fractional coordinates):
La (0.3750, 0.6250, 0.7500)  22 Cu 3.19-3.54
La (0.6250, 0.3750, 0.2500)  22 Cu 3.19-3.54
Cu (0.0000, 0.0000, 0.0000)  10 Cu 2.47-2.66
Cu (0.0000, 0.0000, 0.5000)  10 Cu 2.47-2.66
Cu (0.0000, 0.5000, 0.0000)  10 Cu 2.47-2.66
Cu (0.1250, 0.8750, 0.2500)  12 Cu 2.66-2.74
Cu (0.1424, 0.5615, 0.3333)  9 Cu 2.47-2.74
Cu (0.1424, 0.8091, 0.5809)  9 Cu 2.47-2.74
Cu (0.1909, 0.2718, 0.3333)  9 Cu 2.47-2.74
Cu (0.1909, 0.8576, 0.9191)  9 Cu 2.47-2.74
Cu (0.2718, 0.1909, 0.8333)  9 Cu 2.47-2.74
Cu (0.2718, 0.4385, 0.0809)  9 Cu 2.47-2.74
Cu (0.4385, 0.2718, 0.5809)  9 Cu 2.47-2.74
Cu (0.4385, 0.8576, 0.1667)  9 Cu 2.47-2.74
Cu (0.5000, 0.0000, 0.5000)  10 Cu 2.47-2.66
Cu (0.5615, 0.1424, 0.8333)  9 Cu 2.47-2.74
Cu (0.5615, 0.7282, 0.4191)  9 Cu 2.47-2.74
Cu (0.7282, 0.5615, 0.9191)  9 Cu 2.47-2.74
Cu (0.7282, 0.8091, 0.1667)  9 Cu 2.47-2.74
Cu (0.8091, 0.1424, 0.0809)  9 Cu 2.47-2.74
Cu (0.8091, 0.7282, 0.6667)  9 Cu 2.47-2.74
Cu (0.8576, 0.1909, 0.4191)  9 Cu 2.47-2.74
Cu (0.8576, 0.4385, 0.6667)  9 Cu 2.47-2.74
Cu (0.8750, 0.1250, 0.7500)  12 Cu 2.66-2.74

The calculation puts the density of states at the Fermi level at 7.9 states/eV/cell. As for the density: 8.24 g/cm³. As for the calculated total energy: -4.248 eV/atom. As for the magnetic moment: 0.00 Bohr magnetons per cell. For the energy of formation, the calculation gives -0.990 eV per formula unit.

---

First-principles (GGA-PBE) data for VGePdAu after structural relaxation, as listed in the Alexandria database.

Lattice parameters (Å, degrees): 4.4812 4.4812 4.4812 60.00 60.00 60.00
With the nearest neighbours (Å) after each atom.
Atoms (fractional coordinates):
V (0.0000, 0.0000, 0.0000)  4 Ge 2.74, 4 Au 2.74
Ge (0.7500, 0.7500, 0.7500)  4 Pd 2.74, 4 V 2.74
Pd (0.5000, 0.5000, 0.5000)  4 Au 2.74, 4 Ge 2.74
Au (0.2500, 0.2500, 0.2500)  4 Pd 2.74, 4 V 2.74

The calculation puts the density of states at the Fermi level at 3.7 states/eV/cell. As for the density: 11.14 g/cm³. As for the calculated total energy: -5.649 eV/atom. As for the magnetic moment: 1.93 Bohr magnetons per cell. For the energy of formation, the calculation gives -0.388 eV per formula unit.

---

First-principles (GGA-PBE) data for Ga3HgPb2O8 after structural relaxation, as listed in the Alexandria database.

Lattice parameters (Å, degrees): 6.7345 6.7345 6.7345 55.43 55.43 55.43
With the nearest neighbours (Å) after each atom.
Atoms (fractional coordinates):
Ga (0.0051, 0.4974, 0.4974)  6 O 2.02-2.14
Ga (0.4974, 0.0051, 0.4974)  6 O 2.02-2.14
Ga (0.4974, 0.4974, 0.0051)  6 O 2.02-2.14
Hg (0.8659, 0.8659, 0.8659)  4 O 2.29-2.33
Pb (0.1281, 0.1281, 0.1281)  4 O 2.27-2.54
Pb (0.5026, 0.5026, 0.5026)  6 O 2.36-2.40
O (0.2501, 0.2501, 0.6958)  2 Ga 2.03, 1 Pb 2.27
O (0.2501, 0.6958, 0.2501)  2 Ga 2.03, 1 Pb 2.27
O (0.2772, 0.2772, 0.2772)  3 Ga 2.02
O (0.3039, 0.7529, 0.7529)  2 Ga 2.05
O (0.6958, 0.2501, 0.2501)  2 Ga 2.03, 1 Pb 2.27
O (0.7315, 0.7315, 0.7315)  3 Ga 2.14, 1 Hg 2.29
O (0.7529, 0.3039, 0.7529)  2 Ga 2.05
O (0.7529, 0.7529, 0.3039)  2 Ga 2.05

The calculation puts the density of states at the Fermi level at 4.7 states/eV/cell. As for the density: 8.19 g/cm³. As for the calculated total energy: -5.294 eV/atom. The value obtained for the formation energy (no corrections) is -1.26 eV/atom. As for the magnetic moment: 0.00 Bohr magnetons per cell.

---

First-principles (GGA-PBE) data for Rb2Tl2In after structural relaxation, as listed in the Alexandria database.

Lattice parameters (Å, degrees): 7.4192 7.4192 7.4192 139.13 125.01 70.74
With the nearest neighbours (Å) after each atom.
Atoms (fractional coordinates):
Rb (0.1926, 0.1926, 0.0000)  6 Tl 3.89-4.09, 2 In 4.14
Rb (0.8074, 0.8074, 0.0000)  6 Tl 3.89-4.09, 2 In 4.14
Tl (0.2519, 0.5000, 0.7519)  2 In 3.10, 2 Tl 3.40-3.45
Tl (0.7481, 0.5000, 0.2481)  2 In 3.10, 2 Tl 3.40-3.45
In (0.5000, 0.0000, 0.5000)  4 Tl 3.10

The calculation puts the density of states at the Fermi level at 2.8 states/eV/cell. As for the density: 5.37 g/cm³. As for the calculated total energy: -1.967 eV/atom. As for the magnetic moment: 0.00 Bohr magnetons per cell. For the energy of formation, the calculation gives -0.430 eV per formula unit.

---

First-principles (GGA-PBE) data for Ho3Tm3Tl2 after structural relaxation, as listed in the Alexandria database.

Lattice parameters (Å, degrees): 6.4455 6.4455 15.6887 90.00 90.00 133.19
With the nearest neighbours (Å) after each atom.
Atoms (fractional coordinates):
Ho (0.0400, 0.9600, 0.7500)  2 Tl 3.28, 7 Tm 3.36-3.62
Ho (0.1387, 0.8613, 0.0314)  3 Tl 3.13-3.23, 1 Ho 3.43
Ho (0.1387, 0.8613, 0.4686)  3 Tl 3.13-3.23, 1 Ho 3.43
Ho (0.8613, 0.1387, 0.5314)  3 Tl 3.13-3.23, 1 Ho 3.43
Ho (0.8613, 0.1387, 0.9686)  3 Tl 3.13-3.23, 1 Ho 3.43
Ho (0.9600, 0.0400, 0.2500)  2 Tl 3.28, 7 Tm 3.36-3.62
Tm (0.2437, 0.7563, 0.2500)  4 Tl 3.10, 1 Ho 3.36, 2 Tm 3.44
Tm (0.4598, 0.5402, 0.1034)  1 Tl 3.18, 2 Tm 3.38-3.44, 6 Ho 3.44-3.52
Tm (0.4598, 0.5402, 0.3966)  1 Tl 3.18, 2 Tm 3.38-3.44, 6 Ho 3.44-3.52
Tm (0.5402, 0.4598, 0.6034)  1 Tl 3.18, 2 Tm 3.38-3.44, 6 Ho 3.44-3.52
Tm (0.5402, 0.4598, 0.8966)  1 Tl 3.18, 2 Tm 3.38-3.44, 6 Ho 3.44-3.52
Tm (0.7563, 0.2437, 0.7500)  4 Tl 3.10, 1 Ho 3.36, 2 Tm 3.44
Tl (0.2756, 0.7244, 0.6392)  3 Tm 3.10-3.18, 4 Ho 3.13-3.28
Tl (0.2756, 0.7244, 0.8608)  3 Tm 3.10-3.18, 4 Ho 3.13-3.28
Tl (0.7244, 0.2756, 0.1392)  3 Tm 3.10-3.18, 4 Ho 3.13-3.28
Tl (0.7244, 0.2756, 0.3608)  3 Tm 3.10-3.18, 4 Ho 3.13-3.28

The calculation puts the density of states at the Fermi level at 19.2 states/eV/cell. As for the density: 9.86 g/cm³. As for the calculated total energy: -4.070 eV/atom. As for the magnetic moment: 0.00 Bohr magnetons per cell. For the energy of formation, the calculation gives -0.682 eV per formula unit.

---

First-principles (GGA-PBE) data for SrIrRu2 after structural relaxation, as listed in the Alexandria database.

Lattice parameters (Å, degrees): 5.8901 5.8901 5.8901 151.96 130.75 57.63
With the nearest neighbours (Å) after each atom.
Atoms (fractional coordinates):
Sr (0.0000, 0.0000, 0.0000)  4 Ir 2.84, 2 Sr 2.85
Ir (0.5000, 0.5000, 0.0000)  4 Ru 2.65, 4 Sr 2.84, 2 Ir 2.85
Ru (0.2835, 0.7835, 0.5000)  2 Ir 2.65, 6 Ru 2.85-2.92
Ru (0.7165, 0.2165, 0.5000)  2 Ir 2.65, 6 Ru 2.85-2.92

The calculation puts the density of states at the Fermi level at 5.0 states/eV/cell. As for the density: 11.07 g/cm³. As for the calculated total energy: -6.734 eV/atom. As for the magnetic moment: 0.00 Bohr magnetons per cell. For the energy of formation, the calculation gives 2.160 eV per formula unit.